A relaxed structure of Er2MnAlO6. Source: Alexandria, functional GGA+U.

Cell lengths 5.0814, 5.0814, 4.6994 Å; angles 90.00, 90.00, 90.00 degrees
Last column: nearest neighbours and their distance in Å.
Sites, in units of the cell vectors:
Er 0.0000 0.5000 0.0000  4 O 2.26
Er 0.5000 0.0000 0.0000  4 O 2.26
Mn 0.0000 0.0000 0.6003  5 O 1.92-2.06
Al 0.5000 0.5000 0.5736  5 O 1.78-1.85
O 0.0000 0.0000 0.1612  1 Mn 2.06
O 0.2575 0.2575 0.7068  1 Al 1.85, 1 Mn 1.92
O 0.2575 0.7425 0.7068  1 Al 1.85, 1 Mn 1.92
O 0.5000 0.5000 0.1939  1 Al 1.78
O 0.7425 0.2575 0.7068  1 Al 1.85, 1 Mn 1.92
O 0.7425 0.7425 0.7068  1 Al 1.85, 1 Mn 1.92

Computed properties:
- total moment (μB/f.u.) = 4.00
- energy (eV/f.u.) = -78.01